GGA-PBE HfNb5Re6, optimized geometry; space-group type = Cmmm (65); formation enthalpy at 0 K = -0.30 eV/atom
1.0
-1.641 1.401 -4.007
2.178 -5.377 -2.772
-6.751 -2.396 -0.657
Nb Re Hf
5 6 1
direct
0.667 0.500 0.666 Nb
0.666 0.000 0.667 Nb
0.334 0.000 0.333 Nb
0.000 0.500 0.000 Nb
0.333 0.500 0.334 Nb
0.832 0.252 0.337 Re
0.500 0.746 0.000 Re
0.832 0.748 0.337 Re
0.500 0.254 0.000 Re
0.168 0.748 0.663 Re
0.168 0.252 0.663 Re
0.000 0.000 0.000 Hf

GGA-PBE Hf3NbRe4, optimized geometry; space-group type = P4/mmm (123); formation enthalpy at 0 K = -0.33 eV/atom
1.0
-3.142 -0.154 -0.825
0.300 -3.192 -0.546
-3.151 -2.425 12.449
Re Hf Nb
4 3 1
direct
0.000 0.000 0.627 Re
0.000 0.000 0.881 Re
0.000 0.000 0.119 Re
0.000 0.000 0.373 Re
0.500 0.500 0.500 Hf
0.500 0.500 0.249 Hf
0.500 0.500 0.751 Hf
0.500 0.500 0.000 Nb

GGA-PBE HfNb4Re, optimized geometry; space-group type = C2/c (15); formation enthalpy at 0 K = 0.11 eV/atom
1.0
-5.175 0.951 -0.488
-0.088 -3.520 -5.925
1.376 -4.284 5.667
Nb Re Hf
8 2 2
direct
0.468 0.664 0.171 Nb
0.000 0.402 0.647 Nb
0.000 0.598 0.353 Nb
0.647 0.902 0.647 Nb
0.353 0.098 0.353 Nb
0.298 0.836 0.829 Nb
0.532 0.336 0.829 Nb
0.702 0.164 0.171 Nb
0.000 0.000 0.500 Re
0.500 0.500 0.500 Re
0.104 0.250 0.000 Hf
0.896 0.750 0.000 Hf

GGA-PBE Hf4NbRe, optimized geometry; space-group type = P2/m (10); formation enthalpy at 0 K = 0.35 eV/atom
1.0
4.563 0.000 0.000
0.000 4.427 -1.089
0.000 -2.852 7.456
Hf Nb Re
4 1 1
direct
0.000 0.242 0.742 Hf
0.500 0.257 0.258 Hf
0.000 0.758 0.258 Hf
0.500 0.743 0.742 Hf
0.500 0.500 0.000 Nb
0.000 0.500 0.500 Re

GGA-PBE HfNbRe, optimized geometry; space-group type = I4mm (107); formation enthalpy at 0 K = -0.26 eV/atom
1.0
-1.003 -0.828 -2.980
-2.909 -0.809 1.204
0.316 5.571 0.119
Hf Re Nb
1 1 1
direct
0.610 0.610 0.220 Hf
0.943 0.943 0.886 Re
0.297 0.297 0.594 Nb

GGA-PBE HfNbRe, optimized geometry; space-group type = Fmmm (69); formation enthalpy at 0 K = -0.03 eV/atom
1.0
5.275 0.238 0.000
-2.317 4.745 0.000
-1.479 -2.492 4.539
Re Hf Nb
2 2 2
direct
0.750 0.250 0.500 Re
0.250 0.750 0.500 Re
0.323 0.677 0.000 Hf
0.677 0.323 0.000 Hf
0.174 0.174 0.348 Nb
0.826 0.826 0.652 Nb

GGA-PBE HfNb14Re, optimized geometry; space-group type = P4/mmm (123); formation enthalpy at 0 K = -0.05 eV/atom
1.0
-6.282 -2.098 -0.352
1.568 -5.308 3.654
-1.430 3.360 5.495
Nb Hf Re
14 1 1
direct
0.619 0.619 0.251 Nb
0.375 0.875 0.500 Nb
0.875 0.375 0.500 Nb
0.375 0.875 0.000 Nb
0.375 0.375 0.000 Nb
0.619 0.131 0.251 Nb
0.619 0.619 0.749 Nb
0.131 0.131 0.251 Nb
0.619 0.131 0.749 Nb
0.131 0.619 0.749 Nb
0.131 0.131 0.749 Nb
0.875 0.875 0.000 Nb
0.131 0.619 0.251 Nb
0.875 0.375 0.000 Nb
0.875 0.875 0.500 Hf
0.375 0.375 0.500 Re

GGA-PBE Hf2NbRe2, optimized geometry; space-group type = P4/mbm (127); formation enthalpy at 0 K = 0.02 eV/atom
1.0
6.678 0.000 0.000
0.000 6.678 0.000
0.000 0.000 4.369
Re Hf Nb
4 4 2
direct
0.369 0.869 0.000 Re
0.131 0.369 0.000 Re
0.631 0.131 0.000 Re
0.869 0.631 0.000 Re
0.678 0.822 0.500 Hf
0.322 0.178 0.500 Hf
0.178 0.678 0.500 Hf
0.822 0.322 0.500 Hf
0.500 0.500 0.000 Nb
0.000 0.000 0.000 Nb